(1)
Computed, not measured: a geometry-optimized SmPa2Si2Pt7 structure at the PBE level of DFT.

Cell lengths 5.951, 5.657, 13.534 Å; angles 90.00, 97.82, 90.00 degrees
Space group C2/m (No. 12)
Asymmetric unit:
Sm 0.000 0.000 0.000 [2 per cell]
Pa 0.106 0.000 0.360 [4 per cell]
Si 0.080 0.500 0.258 [4 per cell]
Pt 0.000 0.500 0.000 [2 per cell]
Pt 0.153 0.500 0.435 [4 per cell]
Pt 0.198 0.250 0.833 [8 per cell]

Values from the calculation:
Crystal system = monoclinic
Spin magnetization = 0.00 μB per formula unit
E_tot = -7.35 eV per atom
Formation energy (no corrections) = -0.9434 eV per atom

(2)
Computed, not measured: a geometry-optimized CaY2Rh structure at the PBE level of DFT.

Cell lengths 3.531, 3.531, 9.245 Å; angles 90.00, 90.00, 90.00 degrees
Space group P4/mmm (No. 123)
Asymmetric unit:
Ca 0.000 0.000 0.000 [1 per cell]
Y 0.500 0.500 0.326 [2 per cell]
Rh 0.000 0.000 0.500 [1 per cell]

Values from the calculation:
Crystal system = tetragonal
Formation energy from the elements = -385.5 meV per atom
Spin magnetization = 0.00 μB per formula unit
E_tot = -5.96 eV per atom

(3)
Computed, not measured: a geometry-optimized Ba3HfAu structure at the PBE level of DFT.

Cell lengths 6.260, 6.260, 6.260 Å; angles 90.00, 90.00, 90.00 degrees
Space group Pm-3m (No. 221)
Asymmetric unit:
Ba 0.000 0.000 0.500 [3 per cell]
Hf 0.500 0.500 0.500 [1 per cell]
Au 0.000 0.000 0.000 [1 per cell]

Values from the calculation:
Crystal system = cubic
Formation energy from the elements = 454.5 meV per atom
Spin magnetization = 2.25 μB per formula unit
E_tot = -3.35 eV per atom

(4)
Computed, not measured: a geometry-optimized Be2PBr structure at the PBE level of DFT.

Cell lengths 6.168, 3.563, 6.435 Å; angles 90.00, 108.55, 90.00 degrees
Space group C2/m (No. 12)
Asymmetric unit:
Be 0.119 0.000 0.357 [4 per cell]
P 0.000 0.500 0.500 [2 per cell]
Br 0.000 0.000 0.000 [2 per cell]

Values from the calculation:
Crystal system = monoclinic
Spin magnetization = 0.00 μB per formula unit
E_tot = -3.94 eV per atom
Formation energy (no corrections) = -0.3098 eV per atom

(5)
Computed, not measured: a geometry-optimized InSbTe2I structure at the PBE level of DFT.

Cell lengths 5.628, 5.628, 5.886 Å; angles 90.00, 90.00, 90.00 degrees
Space group P4/mmm (No. 123)
Asymmetric unit:
In 0.000 0.000 0.000 [1 per cell]
Sb 0.000 0.000 0.500 [1 per cell]
Te 0.000 0.500 0.000 [2 per cell]
I 0.500 0.500 0.500 [1 per cell]

Values from the calculation:
Crystal system = tetragonal
Spin magnetization = 0.00 μB per formula unit
E_tot = -2.42 eV per atom
Formation energy (no corrections) = 0.5165 eV per atom

(6)
Computed, not measured: a geometry-optimized BaTiCu2 structure at the PBE level of DFT.

Cell lengths 7.078, 7.078, 7.078 Å; angles 90.00, 90.00, 90.00 degrees
Space group Fm-3m (No. 225)
Asymmetric unit:
Ba 0.000 0.000 0.000 [4 per cell]
Ti 0.000 0.000 0.500 [4 per cell]
Cu 0.250 0.250 0.250 [8 per cell]

Values from the calculation:
Crystal system = cubic
Formation energy from the elements = 589.4 meV per atom
Spin magnetization = 0.00 μB per formula unit
E_tot = -3.91 eV per atom

(7)
Computed, not measured: a geometry-optimized Ca2AcMg2In2 structure at the PBE level of DFT.

Cell lengths 5.1045, 5.1045, 28.9094 Å; angles 90.00, 90.00, 120.00 degrees
Space group R-3m (No. 166, hexagonal axes)
Asymmetric unit:
Ca 0.0000 0.0000 0.1321 [6 per cell]
Ac 0.0000 0.0000 0.0000 [3 per cell]
Mg 0.0000 0.0000 0.4080 [6 per cell]
In 0.0000 0.0000 0.2571 [6 per cell]

Values from the calculation:
Crystal system = trigonal
Formation energy from the elements = -293.3 meV per atom
Spin magnetization = 0.00 μB per formula unit
E_tot = -2.69 eV per atom

(8)
Computed, not measured: a geometry-optimized Na4AuBr2 structure at the PBE level of DFT.

Cell lengths 5.583, 5.583, 15.318 Å; angles 90.00, 90.00, 90.00 degrees
Space group I4/mmm (No. 139)
Asymmetric unit:
Na 0.000 0.000 0.191 [4 per cell]
Na 0.000 0.500 0.000 [4 per cell]
Au 0.000 0.000 0.000 [2 per cell]
Br 0.000 0.000 0.373 [4 per cell]

Values from the calculation:
Crystal system = tetragonal
Spin magnetization = 0.00 μB per formula unit
E_tot = -2.45 eV per atom
Formation energy (no corrections) = -0.7474 eV per atom